(1)
An optimized crystal structure of Cu4Pt2Au3, computed with PBE.

Electronic total energy: -4.319 eV/atom
Space group: No. 2
Magnetization: 0.00 μB/cell

Structure (POSCAR):
```
Cu4Pt2Au3
1.0
3.987 0.000 0.000
1.990 4.197 0.000
0.032 1.983 8.037
Cu Pt Au
4 2 3
Direct
0.000 0.001 0.171
0.000 0.999 0.829
0.333 0.333 0.609
0.667 0.667 0.391
0.334 0.333 0.285
0.666 0.667 0.715
0.000 0.000 0.500
0.333 0.332 0.933
0.667 0.668 0.067
```

(2)
An optimized crystal structure of CaZn2Ga3, computed with PBE.

Electronic total energy: -2.502 eV/atom
Space group: No. 71
Magnetization: 0.00 μB/cell

Structure (POSCAR):
```
CaZn2Ga3
1.0
-2.234 3.748 6.947
2.234 -3.748 6.947
2.234 3.748 -6.947
Ca Zn Ga
2 4 6
Direct
0.133 0.133 0.000
0.867 0.867 0.000
0.166 0.500 0.666
0.307 0.807 0.500
0.693 0.193 0.500
0.834 0.500 0.334
0.131 0.329 0.802
0.336 0.000 0.336
0.473 0.671 0.802
0.527 0.329 0.198
0.664 0.000 0.664
0.869 0.671 0.198
```

(3)
An optimized crystal structure of Na2SrP2Pt, computed with PBE.

Electronic total energy: -3.928 eV/atom
Space group: No. 139
Magnetization: 0.00 μB/cell

Structure (POSCAR):
```
Na2SrP2Pt
1.0
5.445 0.000 0.000
0.000 5.445 0.000
0.000 0.000 10.618
Na Sr P Pt
4 2 4 2
Direct
0.000 0.500 0.250
0.000 0.500 0.750
0.500 0.000 0.250
0.500 0.000 0.750
0.000 0.000 0.000
0.500 0.500 0.500
0.000 0.000 0.291
0.000 0.000 0.709
0.500 0.500 0.209
0.500 0.500 0.791
0.000 0.000 0.500
0.500 0.500 0.000
```